1.
# TbPm5Nd5

A relaxed TbPm5Nd5 crystal (PBE-GGA, the Alexandria database).

Calculated values
SG: P-6m2
Energy of formation from the pure elements (meV/atom): 300.2
ΔE to the lowest computed polymorph (eV/atom): 0.166

Unit cell a=6.238 b=6.238 c=11.656 alpha=90.00 beta=90.00 gamma=120.00
Element x y z (fractional)
1 Tb 0.000 0.000 0.000
2 Pm 0.000 0.000 0.319
3 Pm 0.000 0.000 0.681
4 Pm 0.333 0.667 0.158
5 Pm 0.333 0.667 0.842
6 Pm 0.667 0.333 0.000
7 Nd 0.006 0.503 0.500
8 Nd 0.497 0.503 0.500
9 Nd 0.497 0.994 0.500
10 Nd 0.667 0.333 0.264
11 Nd 0.667 0.333 0.736

2.
# TbPm3Nd

A relaxed TbPm3Nd crystal (PBE-GGA, the Alexandria database).

Calculated values
SG: P-1
Energy of formation from the pure elements (meV/atom): 156.2
ΔE to the lowest computed polymorph (eV/atom): 0.142

Unit cell a=6.606 b=6.612 c=9.794 alpha=70.39 beta=89.75 gamma=60.18
Element x y z (fractional)
1 Tb 0.017 0.044 0.314
2 Tb 0.983 0.956 0.686
3 Pm 0.149 0.369 0.687
4 Pm 0.344 0.808 0.042
5 Pm 0.438 0.209 0.312
6 Pm 0.562 0.791 0.688
7 Pm 0.656 0.192 0.958
8 Pm 0.851 0.631 0.313
9 Nd 0.000 0.500 0.000
10 Nd 0.500 0.500 0.500

3.
# Tb7PmNd2

A relaxed Tb7PmNd2 crystal (PBE-GGA, the Alexandria database).

Calculated values
SG: Cmmm
Energy of formation from the pure elements (meV/atom): 161.1
ΔE to the lowest computed polymorph (eV/atom): 0.114

Unit cell a=14.902 b=14.902 c=3.515 alpha=90.00 beta=90.00 gamma=154.51
Element x y z (fractional)
1 Tb 0.000 0.000 0.000
2 Tb 0.154 0.352 0.000
3 Tb 0.314 0.686 0.500
4 Tb 0.352 0.154 0.000
5 Tb 0.648 0.846 0.000
6 Tb 0.686 0.314 0.500
7 Tb 0.846 0.648 0.000
8 Pm 0.500 0.500 0.500
9 Nd 0.206 0.794 0.000
10 Nd 0.794 0.206 0.000

Question: Look up the energy of formation from the pure elements of the third one.
Answer: 161.1 meV/atom

Question: Among the records above, which one has the lowest energy of formation from the pure elements?
Answer: TbPm3Nd